## CrCoO (GGA+U)

Data for a relaxed CrCoO crystal. Values from VASP.

Structure (Quantum ESPRESSO input):
```
&SYSTEM
  ibrav = 0, nat = 9, ntyp = 3
/
ATOMIC_SPECIES
Cr 52.00 Cr.upf
Co 58.93 Co.upf
O 16.00 O.upf
CELL_PARAMETERS angstrom
2.921 0.000 0.000
-1.461 2.530 0.000
0.000 0.000 15.324
ATOMIC_POSITIONS angstrom
Cr 0.000 0.000 0.659
Cr 0.000 1.687 10.875
Cr 1.461 0.843 5.767
Co 0.000 0.000 7.861
Co 0.000 1.687 2.752
Co 1.461 0.843 12.969
O 0.000 0.000 9.841
O 0.000 1.687 4.733
O 1.461 0.843 14.949
```

Results
The calculation puts the excess energy over the best structure of this formula in the dataset at 0.211 eV per atom. Its symmetry is R3m, No. 160. Its crystal system is trigonal. The total energy comes out at -6.337 eV per atom.